(1)
Tb2ErGaN after structural relaxation, computed with PBE-GGA.

a b c (Å): 4.781 4.781 4.695
angles (deg): 90.00 90.00 90.00
Fractional coordinates of all 5 atoms:
Tb 0.000 0.500 0.000
Tb 0.500 0.000 0.000
Er 0.000 0.000 0.500
Ga 0.500 0.500 0.500
N 0.000 0.000 0.000

Summary:
- Theoretical density: 8.8 Mg/m³
- SG: P4/mmm
- Fermi-level density of states: 2.33 states/eV/cell
- Total DFT energy (no corrections): -6.01 eV/atom
- E_form (uncorrected): -971.6 meV per atom

=====

(2)
ErTm2GaN after structural relaxation, computed with PBE-GGA.

a b c (Å): 4.662 4.662 4.691
angles (deg): 90.00 90.00 90.00
Fractional coordinates of all 5 atoms:
Er 0.000 0.000 0.000
Tm 0.000 0.500 0.500
Tm 0.500 0.000 0.500
Ga 0.500 0.500 0.000
N 0.000 0.000 0.500

Summary:
- Theoretical density: 9.6 Mg/m³
- SG: P4/mmm
- Fermi-level density of states: 2.27 states/eV/cell
- Total DFT energy (no corrections): -5.98 eV/atom
- E_form (uncorrected): -1008.7 meV per atom

=====

(3)
NaErGa6 after structural relaxation, computed with PBE-GGA.

a b c (Å): 4.379 5.956 6.125
angles (deg): 90.00 90.00 90.00
Fractional coordinates of all 8 atoms:
Na 0.000 0.000 0.000
Er 0.500 0.500 0.195
Ga 0.000 0.264 0.450
Ga 0.000 0.500 0.850
Ga 0.000 0.736 0.450
Ga 0.500 0.000 0.346
Ga 0.500 0.238 0.741
Ga 0.500 0.762 0.741

Summary:
- Theoretical density: 6.3 Mg/m³
- SG: Pmm2
- Fermi-level density of states: 2.14 states/eV/cell
- Total DFT energy (no corrections): -3.25 eV/atom
- Energy of formation: -0.248 eV per atom

=====

(4)
NaEr2Ga9 after structural relaxation, computed with PBE-GGA.

a b c (Å): 4.247 4.247 12.838
angles (deg): 90.00 90.00 90.00
Fractional coordinates of all 12 atoms:
Na 0.000 0.000 0.000
Er 0.000 0.000 0.334
Er 0.000 0.000 0.666
Ga 0.000 0.500 0.164
Ga 0.000 0.500 0.500
Ga 0.000 0.500 0.836
Ga 0.500 0.000 0.164
Ga 0.500 0.000 0.500
Ga 0.500 0.000 0.836
Ga 0.500 0.500 0.000
Ga 0.500 0.500 0.336
Ga 0.500 0.500 0.664

Summary:
- Theoretical density: 7.1 Mg/m³
- SG: P4/mmm
- Fermi-level density of states: 4.26 states/eV/cell
- Total DFT energy (no corrections): -3.48 eV/atom
- Energy of formation: -0.341 eV per atom

=====

(5)
NaErGa4 after structural relaxation, computed with PBE-GGA.

a b c (Å): 5.662 5.662 5.662
angles (deg): 133.76 104.52 93.30
Fractional coordinates of all 6 atoms:
Na 0.000 0.000 0.000
Er 0.500 0.000 0.500
Ga 0.045 0.332 0.713
Ga 0.381 0.668 0.713
Ga 0.619 0.332 0.287
Ga 0.955 0.668 0.287

Summary:
- Theoretical density: 6.5 Mg/m³
- SG: Immm
- Fermi-level density of states: 1.86 states/eV/cell
- Total DFT energy (no corrections): -3.35 eV/atom
- Energy of formation: -0.356 eV per atom

=====

(6)
NaErGa4 after structural relaxation, computed with PBE-GGA.

a b c (Å): 5.518 5.518 5.518
angles (deg): 60.00 60.00 60.00
Fractional coordinates of all 6 atoms:
Na 0.000 0.000 0.000
Er 0.750 0.750 0.750
Ga 0.375 0.375 0.375
Ga 0.375 0.375 0.875
Ga 0.375 0.875 0.375
Ga 0.875 0.375 0.375

Summary:
- Theoretical density: 6.6 Mg/m³
- SG: F-43m
- Fermi-level density of states: 3.80 states/eV/cell
- Total DFT energy (no corrections): -3.30 eV/atom
- Energy of formation: -0.300 eV per atom

=====

(7)
NaNdErGa after structural relaxation, computed with PBE-GGA.

a b c (Å): 5.289 5.289 5.289
angles (deg): 60.00 60.00 60.00
Fractional coordinates of all 4 atoms:
Na 0.000 0.000 0.000
Nd 0.250 0.250 0.250
Er 0.750 0.750 0.750
Ga 0.500 0.500 0.500

Summary:
- Theoretical density: 6.4 Mg/m³
- SG: F-43m
- Fermi-level density of states: 4.37 states/eV/cell
- Total DFT energy (no corrections): -3.54 eV/atom
- Energy of formation: -0.123 eV per atom

=====

(8)
NaEr2GaO5 after structural relaxation, computed with PBE-GGA.

a b c (Å): 6.404 6.404 5.675
angles (deg): 90.00 90.00 90.00
Fractional coordinates of all 18 atoms:
Na 0.000 0.000 0.000
Na 0.500 0.500 0.000
Er 0.178 0.322 0.500
Er 0.322 0.822 0.500
Er 0.678 0.178 0.500
Er 0.822 0.678 0.500
Ga 0.000 0.500 0.000
Ga 0.500 0.000 0.000
O 0.000 0.000 0.500
O 0.140 0.640 0.245
O 0.140 0.640 0.755
O 0.360 0.140 0.245
O 0.360 0.140 0.755
O 0.500 0.500 0.500
O 0.640 0.860 0.245
O 0.640 0.860 0.755
O 0.860 0.360 0.245
O 0.860 0.360 0.755

Summary:
- Theoretical density: 7.2 Mg/m³
- SG: P4/mbm
- Fermi-level density of states: 0.00 states/eV/cell
- Total DFT energy (no corrections): -6.87 eV/atom
- E_form (uncorrected): -2615.0 meV per atom

=====

(9)
Na3Er3GaO8 after structural relaxation, computed with PBE-GGA.

a b c (Å): 6.727 6.727 6.727
angles (deg): 59.28 59.28 59.28
Fractional coordinates of all 15 atoms:
Na 0.000 0.500 0.500
Na 0.500 0.000 0.500
Na 0.500 0.500 0.000
Er 0.000 0.000 0.500
Er 0.000 0.500 0.000
Er 0.500 0.000 0.000
Ga 0.500 0.500 0.500
O 0.236 0.236 0.236
O 0.259 0.719 0.719
O 0.281 0.281 0.741
O 0.281 0.741 0.281
O 0.719 0.259 0.719
O 0.719 0.719 0.259
O 0.741 0.281 0.281
O 0.764 0.764 0.764

Summary:
- Theoretical density: 6.0 Mg/m³
- SG: R-3m
- Fermi-level density of states: 11.80 states/eV/cell
- Total DFT energy (no corrections): -6.50 eV/atom
- E_form (uncorrected): -2476.9 meV per atom

=====

(10)
Na3Er2GaO6 after structural relaxation, computed with PBE-GGA.

a b c (Å): 5.669 5.669 5.851
angles (deg): 99.12 99.12 120.09
Fractional coordinates of all 12 atoms:
Na 0.000 0.000 0.000
Na 0.343 0.657 0.000
Na 0.657 0.343 0.000
Er 0.167 0.833 0.500
Er 0.833 0.167 0.500
Ga 0.500 0.500 0.500
O 0.119 0.432 0.292
O 0.255 0.255 0.703
O 0.432 0.119 0.292
O 0.568 0.881 0.708
O 0.745 0.745 0.297
O 0.881 0.568 0.708

Summary:
- Theoretical density: 6.1 Mg/m³
- SG: C2/m
- Fermi-level density of states: 0.00 states/eV/cell
- Total DFT energy (no corrections): -6.27 eV/atom
- E_form (uncorrected): -2445.3 meV per atom

=====

(11)
Na2ErGaO4 after structural relaxation, computed with PBE-GGA.

a b c (Å): 5.515 3.237 5.838
angles (deg): 90.00 108.69 90.00
Fractional coordinates of all 8 atoms:
Na 0.000 0.000 0.000
Na 0.500 0.500 0.000
Er 0.000 0.500 0.500
Ga 0.500 0.000 0.500
O 0.256 0.000 0.708
O 0.283 0.500 0.295
O 0.717 0.500 0.705
O 0.744 0.000 0.292

Summary:
- Theoretical density: 5.8 Mg/m³
- SG: P2/m
- Fermi-level density of states: 0.00 states/eV/cell
- Total DFT energy (no corrections): -6.01 eV/atom
- E_form (uncorrected): -2249.8 meV per atom

=====

(12)
Na4Er3GaO8 after structural relaxation, computed with PBE-GGA.

a b c (Å): 6.739 6.739 6.739
angles (deg): 58.70 58.70 58.70
Fractional coordinates of all 16 atoms:
Na 0.000 0.000 0.000
Na 0.000 0.500 0.500
Na 0.500 0.000 0.500
Na 0.500 0.500 0.000
Er 0.000 0.000 0.500
Er 0.000 0.500 0.000
Er 0.500 0.000 0.000
Ga 0.500 0.500 0.500
O 0.237 0.237 0.237
O 0.253 0.727 0.727
O 0.273 0.273 0.747
O 0.273 0.747 0.273
O 0.727 0.253 0.727
O 0.727 0.727 0.253
O 0.747 0.273 0.273
O 0.763 0.763 0.763

Summary:
- Theoretical density: 6.3 Mg/m³
- SG: R-3m
- Fermi-level density of states: 0.00 states/eV/cell
- Total DFT energy (no corrections): -6.38 eV/atom
- E_form (uncorrected): -2525.6 meV per atom